DFT (PBE) results for Mg2GaCl after structural relaxation.

Cell lengths 6.8724, 6.8724, 8.8479 Å; angles 90.00, 90.00, 90.00 degrees
With the nearest neighbours (Å) after each atom.
Space group I-42d (No. 122)
Unique sites:
1 Mg 0.2425 0.2500 0.1250 (multiplicity 8)  2 Cl 2.64, 2 Ga 2.70
2 Ga 0.0000 0.0000 0.5000 (multiplicity 4)  4 Mg 2.70
3 Cl 0.0000 0.0000 0.0000 (multiplicity 4)  4 Mg 2.64

Output
Formation energy (no corrections): -1.30 eV/f.u.
Volume: 26.118 Å³/atom
Total DFT energy (no corrections): -0.1720 Ry/atom
Size of the total moment: 0.00 μB/cell
DOS at the Fermi energy: 4.5 states/eV/cell